A relaxed structure of YFeI2O, computed with GGA+U.

POSCAR file:
```
YFeI2O
1.0
-3.107 5.222 1.439
-4.362 -1.428 -4.235
-2.156 -2.089 2.925
O I Fe Y
1 2 1 1
direct
0.000 0.000 0.500
0.000 0.500 0.000
0.500 0.000 0.000
0.500 0.500 0.500
0.000 0.000 0.000
```

Summary:
* offset from the most stable computed form: 0.000 eV/atom